1.
{"formula": "Hf2ZrS", "functional": "GGA-PBE", "state": "optimized geometry", "formation_energy_uncorrected_mev_per_atom": -648.6, "magmom_total_mub_per_fu": 0.0, "lattice_angstrom": [[-4.7099, 0.7701, 1.5630], [0.5639, -5.1793, 4.2510], [4.1622, 1.3912, 3.7892]], "species": ["Hf", "Hf", "Hf", "Hf", "Zr", "Zr", "S", "S"], "frac_coords": [[0.3147, 0.5921, 0.6294], [0.6853, 0.4079, 0.3706], [0.3146, 0.0921, 0.6294], [0.6854, 0.9079, 0.3706], [0.9999, 0.2500, 0.0000], [0.0001, 0.7500, 0.0000], [0.5002, 0.7500, 0.0000], [0.4998, 0.2500, 0.0000]]}

***

2.
{"formula": "HfZrS", "functional": "GGA-PBE", "state": "optimized geometry", "formation_energy_uncorrected_mev_per_atom": -1039.1, "magmom_total_mub_per_fu": 0.0, "polymorph_energy_mev_per_atom": 1, "lattice_angstrom": [[3.4867, 0.0000, 0.0000], [0.0000, 6.0438, -0.3793], [-1.7433, -2.6696, 5.8432]], "species": ["Hf", "Hf", "Zr", "Zr", "S", "S"], "frac_coords": [[0.8943, 0.7270, 0.7885], [0.1057, 0.2730, 0.2115], [0.6076, 0.7751, 0.2152], [0.3924, 0.2249, 0.7848], [0.2512, 0.7457, 0.5024], [0.7488, 0.2543, 0.4976]]}

***

3.
{"formula": "HfZrS3", "functional": "GGA-PBE", "state": "optimized geometry", "formation_energy_uncorrected_mev_per_atom": -614.1, "magmom_total_mub_per_fu": 1.8, "polymorph_energy_mev_per_atom": 639, "lattice_angstrom": [[-4.2141, -1.5289, -1.8515], [-1.6671, -0.8285, 4.4786], [-1.7281, 4.5277, 0.1943]], "species": ["S", "S", "S", "Hf", "Zr"], "frac_coords": [[0.0000, 0.5000, 0.0000], [0.0000, 0.0000, 0.5000], [0.5000, 0.0000, 0.0000], [0.0000, 0.0000, 0.0000], [0.5000, 0.5000, 0.5000]]}

***

4.
{"formula": "HfZrS3", "functional": "GGA-PBE", "state": "optimized geometry", "formation_energy_uncorrected_mev_per_atom": -1253.5, "magmom_total_mub_per_fu": 0.0, "polymorph_energy_mev_per_atom": 0, "lattice_angstrom": [[-3.9580, 1.8181, -1.5025], [-1.7747, 0.1187, 4.8187], [4.4651, 8.6410, -1.3060]], "species": ["Hf", "Hf", "Zr", "Zr", "S", "S", "S", "S", "S", "S"], "frac_coords": [[0.2500, 0.6700, 0.1834], [0.7500, 0.4867, 0.8166], [0.2500, 0.0885, 0.6602], [0.7500, 0.4283, 0.3398], [0.7500, 0.9514, 0.7896], [0.7500, 0.5832, 0.1036], [0.7500, 0.2316, 0.5542], [0.2500, 0.4795, 0.8964], [0.2500, 0.1618, 0.2104], [0.2500, 0.6774, 0.4458]]}